{"formula": "ScCuAs2Br", "functional": "GGA-PBE", "state": "relaxed", "cell": [[4.5976, 0.0000, 0.0000], [0.0000, 4.5976, 0.0000], [0.0000, 0.0000, 5.3185]], "species": ["Sc", "As", "As", "Cu", "Br"], "frac_coords": [[0.5000, 0.5000, 0.5000], [0.0000, 0.5000, 0.0000], [0.5000, 0.0000, 0.0000], [0.0000, 0.0000, 0.0000], [0.0000, 0.0000, 0.5000]], "polymorph_energy_mev_per_atom": 0, "space_group": "P4/mmm, No. 123"}

{"formula": "CuAs2SeBr", "functional": "GGA-PBE", "state": "relaxed", "cell": [[-4.7476, 0.3874, -1.0249], [-0.8245, -4.2647, 2.2074], [-0.6919, 2.2287, 4.0475]], "species": ["Br", "As", "As", "Se", "Cu"], "frac_coords": [[0.0000, 0.0000, 0.5000], [0.0000, 0.5000, 0.0000], [0.5000, 0.0000, 0.0000], [0.5000, 0.5000, 0.5000], [0.0000, 0.0000, 0.0000]], "polymorph_energy_mev_per_atom": 0, "space_group": "P4/mmm, No. 123"}

For the records above, the corresponding uncorrected formation energy values read 0.10, 0.59 eV per atom.